## AsPt4Pb (PBE-GGA)

Data for an optimized crystal structure of AsPt4Pb.

```
AsPt4Pb
1.0
8.5873 -2.8016 0.0000
8.5873 2.8016 0.0000
-0.9957 0.0000 4.5718
As Pt Pb
2 8 2
direct
0.0000 0.5000 0.0000
0.5000 0.0000 0.5000
0.0281 0.7586 0.1642
0.1887 0.4683 0.6078
0.2414 0.9719 0.3358
0.4683 0.1887 0.1078
0.5317 0.8113 0.8922
0.7586 0.0281 0.6642
0.8113 0.5317 0.3922
0.9719 0.2414 0.8358
0.2833 0.7167 0.7500
0.7167 0.2833 0.2500
```

Properties
formation enthalpy at 0 K	-0.0960	eV/atom
energy above the most stable polymorph in this dataset	0	meV/atom
total moment	0.00	μB per formula unit
DOS(E_F)	7.13	states/eV/cell



## ZrMn2P (PBE-GGA)

Data for an optimized crystal structure of ZrMn2P.

```
ZrMn2P
1.0
3.3235 0.0000 0.0000
0.0000 4.2033 0.0000
-0.3740 0.0000 4.3396
Zr Mn P
1 2 1
direct
0.0000 0.0000 0.0000
0.3224 0.5000 0.7224
0.6776 0.5000 0.2776
0.5000 0.0000 0.5000
```

Properties
formation enthalpy at 0 K	-0.1722	eV/atom
total moment	4.37	μB per formula unit
DOS(E_F)	3.45	states/eV/cell



## PmSmErHg (PBE-GGA)

Data for an optimized crystal structure of PmSmErHg.

```
PmSmErHg
1.0
0.0000 3.8598 3.8598
3.8598 0.0000 3.8598
3.8598 3.8598 0.0000
Pm Sm Er Hg
1 1 1 1
direct
0.0000 0.0000 0.0000
0.7500 0.7500 0.7500
0.2500 0.2500 0.2500
0.5000 0.5000 0.5000
```

Properties
formation enthalpy at 0 K	-0.0273	eV/atom
energy above the most stable polymorph in this dataset	202	meV/atom
total moment	0.40	μB per formula unit
DOS(E_F)	6.47	states/eV/cell



What are the calculated total energy values for these records? In order: -5.5162 -8.2465 -3.6110 eV per atom.